No. 1
This record from OQMD via LeMat-Bulk describes an optimized crystal structure of TaNbNiBi. The functional is PBE.

Lattice parameters (Å, degrees): 4.6914 4.6914 4.6914 60.00 60.00 60.00
With the nearest neighbours (Å) after each atom.
Sites, in units of the cell vectors:
Ta  0.0000  0.0000  0.0000  4 Ni 2.87, 4 Nb 2.87
Nb  0.2500  0.2500  0.2500  4 Ta 2.87, 4 Bi 2.87
Ni  0.7500  0.7500  0.7500  4 Ta 2.87, 4 Bi 2.87
Bi  0.5000  0.5000  0.5000  4 Ni 2.87, 4 Nb 2.87

Properties
E_tot: -7.427 eV/atom
space group: No. 216

No. 2
This record from OQMD via LeMat-Bulk describes an optimized crystal structure of GaTc. The functional is PBE.

Lattice parameters (Å, degrees): 3.6000 3.6000 3.6000 60.00 60.00 60.00
With the nearest neighbours (Å) after each atom.
Sites, in units of the cell vectors:
Ga  0.0000  0.0000  0.0000  6 Tc 2.55
Tc  0.5000  0.5000  0.5000  6 Ga 2.55

Properties
E_tot: -6.253 eV/atom
space group: No. 225

No. 3
This record from OQMD via LeMat-Bulk describes an optimized crystal structure of SbPt17. The functional is PBE.

Lattice parameters (Å, degrees): 5.5519 5.5519 28.4931 90.00 90.00 120.00
With the nearest neighbours (Å) after each atom.
Sites, in units of the cell vectors:
Sb  0.3333  0.6667  0.3332  9 Pt 2.78-2.98
Sb  0.6667  0.3333  0.6668  9 Pt 2.78-2.98
Pt  0.0000  0.0000  0.0000  12 Pt 2.78-2.82
Pt  0.0000  0.0000  0.2446  12 Pt 2.78-2.86
Pt  0.0000  0.0000  0.7554  12 Pt 2.78-2.86
Pt  0.0000  0.5000  0.0000  12 Pt 2.78-2.82
Pt  0.0006  0.5003  0.2451  11 Pt 2.77-2.85, 1 Sb 2.98
Pt  0.1658  0.3316  0.6722  7 Pt 2.76-2.86, 2 Sb 2.78
Pt  0.1658  0.8342  0.6722  7 Pt 2.76-2.86, 2 Sb 2.78
Pt  0.1665  0.3330  0.9186  12 Pt 2.77-2.82
Pt  0.1671  0.3342  0.1630  12 Pt 2.77-2.83
Pt  0.1671  0.8329  0.1630  12 Pt 2.77-2.83
Pt  0.1665  0.8335  0.9186  12 Pt 2.77-2.82
Pt  0.3316  0.1658  0.3278  7 Pt 2.76-2.86, 2 Sb 2.78
Pt  0.3330  0.1665  0.0814  12 Pt 2.77-2.82
Pt  0.3333  0.6667  0.0810  12 Pt 2.78-2.83
Pt  0.3333  0.6667  0.8376  12 Pt 2.78-2.85
Pt  0.3342  0.1671  0.8370  12 Pt 2.77-2.83
Pt  0.5000  0.0000  0.0000  12 Pt 2.78-2.82
Pt  0.5003  0.0006  0.7549  11 Pt 2.77-2.85, 1 Sb 2.98
Pt  0.5000  0.5000  0.0000  12 Pt 2.78-2.82
Pt  0.4997  0.5003  0.2451  11 Pt 2.77-2.85, 1 Sb 2.98
Pt  0.5003  0.4997  0.7549  11 Pt 2.77-2.85, 1 Sb 2.98
Pt  0.4997  0.9994  0.2451  11 Pt 2.77-2.85, 1 Sb 2.98
Pt  0.6658  0.8329  0.1630  12 Pt 2.77-2.83
Pt  0.6667  0.3333  0.1624  12 Pt 2.78-2.85
Pt  0.6667  0.3333  0.9190  12 Pt 2.78-2.83
Pt  0.6670  0.8335  0.9186  12 Pt 2.77-2.82
Pt  0.6684  0.8342  0.6722  7 Pt 2.76-2.86, 2 Sb 2.78
Pt  0.8335  0.1665  0.0814  12 Pt 2.77-2.82
Pt  0.8329  0.1671  0.8370  12 Pt 2.77-2.83
Pt  0.8329  0.6658  0.8370  12 Pt 2.77-2.83
Pt  0.8335  0.6670  0.0814  12 Pt 2.77-2.82
Pt  0.8342  0.1658  0.3278  7 Pt 2.76-2.86, 2 Sb 2.78
Pt  0.8342  0.6684  0.3278  7 Pt 2.76-2.86, 2 Sb 2.78
Pt  0.9994  0.4997  0.7549  11 Pt 2.77-2.85, 1 Sb 2.98

Properties
E_tot: -5.910 eV/atom
space group: No. 164

No. 4
This record from OQMD via LeMat-Bulk describes an optimized crystal structure of ErP2. The functional is PBE.

Lattice parameters (Å, degrees): 4.5891 4.5891 4.5891 60.00 60.00 60.00
With the nearest neighbours (Å) after each atom.
Sites, in units of the cell vectors:
Er  0.0000  0.0000  0.0000  8 P 2.81
P  0.2500  0.2500  0.2500  4 Er 2.81
P  0.7500  0.7500  0.7500  4 Er 2.81

Properties
E_tot: -5.442 eV/atom
space group: No. 225

Copy entry 1 word for word.
This record from OQMD via LeMat-Bulk describes an optimized crystal structure of TaNbNiBi. The functional is PBE.

Lattice parameters (Å, degrees): 4.6914 4.6914 4.6914 60.00 60.00 60.00
With the nearest neighbours (Å) after each atom.
Sites, in units of the cell vectors:
Ta  0.0000  0.0000  0.0000  4 Ni 2.87, 4 Nb 2.87
Nb  0.2500  0.2500  0.2500  4 Ta 2.87, 4 Bi 2.87
Ni  0.7500  0.7500  0.7500  4 Ta 2.87, 4 Bi 2.87
Bi  0.5000  0.5000  0.5000  4 Ni 2.87, 4 Nb 2.87

Properties
E_tot: -7.427 eV/atom
space group: No. 216